Computed, not measured: Zn2RePt at its PBEsol-relaxed geometry at the meta-GGA SCAN level of DFT.

Cell: 5.307 5.307 5.307 Å, 150.35 129.78 59.41°
Sites, in units of the cell vectors:
Zn  0.000  0.000  0.000
Zn  0.753  0.253  0.500
Re  0.254  0.754  0.500
Pt  0.509  0.509  0.000

Summary:
DOS at the Fermi energy: 2.4 states/eV/cell
spin magnetization: 0.0001 μB per atom
formation energy from the elements: 0.3 eV/f.u.
V: 14.09 A^3/atom
symmetry: Imm2
energy above the most stable polymorph in this dataset: 87.0 meV per atom

Computed, not measured: BaSb2RhO at its PBEsol-relaxed geometry at the meta-GGA SCAN level of DFT.

Cell: 4.829 4.829 6.516 Å, 90.00 90.00 90.00°
Sites, in units of the cell vectors:
Ba  0.000  0.000  0.000
Sb  0.000  0.500  0.500
Sb  0.500  0.000  0.500
Rh  0.000  0.000  0.500
O  0.500  0.500  0.000

Summary:
DOS at the Fermi energy: 1.9 states/eV/cell
raw formation energy: -322 meV per atom
spin magnetization: 0.1588 μB per atom
V: 30.39 A^3/atom
symmetry: P4/mmm

Computed, not measured: Al2SiSe2 at its PBEsol-relaxed geometry at the meta-GGA SCAN level of DFT.

Cell: 6.440 6.440 6.440 Å, 140.34 140.34 57.34°
Sites, in units of the cell vectors:
Al  0.250  0.750  0.500
Al  0.750  0.250  0.500
Si  0.000  0.000  0.000
Se  0.363  0.363  0.000
Se  0.637  0.637  0.000

Summary:
DOS at the Fermi energy: 2.8 states/eV/cell
raw formation energy: 425 meV per atom
spin magnetization: 0.0058 μB per atom
V: 21.58 A^3/atom
symmetry: I4/mmm

Computed, not measured: KGa2FeF at its PBEsol-relaxed geometry at the meta-GGA SCAN level of DFT.

Cell: 4.438 4.438 6.513 Å, 90.00 90.00 90.00°
Sites, in units of the cell vectors:
K  0.000  0.000  0.000
Ga  0.000  0.500  0.500
Ga  0.500  0.000  0.500
Fe  0.000  0.000  0.500
F  0.500  0.500  0.000

Summary:
DOS at the Fermi energy: 2.8 states/eV/cell
raw formation energy: -353 meV per atom
spin magnetization: 0.3213 μB per atom
V: 25.65 A^3/atom
symmetry: P4/mmm

Computed, not measured: CsNbAsSe2 at its PBEsol-relaxed geometry at the meta-GGA SCAN level of DFT.

Cell: 5.127 5.127 5.064 Å, 90.00 90.00 90.00°
Sites, in units of the cell vectors:
Cs  0.000  0.000  0.000
Nb  0.500  0.500  0.500
As  0.500  0.500  0.000
Se  0.000  0.500  0.500
Se  0.500  0.000  0.500

Summary:
DOS at the Fermi energy: 2.8 states/eV/cell
raw formation energy: -614 meV per atom
spin magnetization: 0.0000 μB per atom
V: 26.63 A^3/atom
symmetry: P4/mmm

Computed, not measured: NiH2O at its PBEsol-relaxed geometry at the meta-GGA SCAN level of DFT.

Cell: 3.180 3.180 3.180 Å, 60.00 60.00 60.00°
Sites, in units of the cell vectors:
Ni  0.000  0.000  0.000
H  0.250  0.250  0.250
H  0.750  0.750  0.750
O  0.500  0.500  0.500

Summary:
DOS at the Fermi energy: 1.1 states/eV/cell
spin magnetization: 0.1657 μB per atom
V: 5.68 A^3/atom
symmetry: Fm-3m
total energy: -6.69 eV/atom

Computed, not measured: Ba2ZrSb at its PBEsol-relaxed geometry at the meta-GGA SCAN level of DFT.

Cell: 6.911 6.911 6.911 Å, 144.77 130.74 62.00°
Sites, in units of the cell vectors:
Ba  0.000  0.000  0.000
Ba  0.698  0.198  0.500
Zr  0.410  0.410  0.000
Sb  0.248  0.748  0.500

Summary:
DOS at the Fermi energy: 5.1 states/eV/cell
raw formation energy: -197 meV per atom
spin magnetization: 0.0008 μB per atom
V: 35.68 A^3/atom
symmetry: Imm2

Computed, not measured: MgTaPS2 at its PBEsol-relaxed geometry at the meta-GGA SCAN level of DFT.

Cell: 4.484 4.484 4.695 Å, 90.00 90.00 90.00°
Sites, in units of the cell vectors:
Mg  0.000  0.000  0.000
Ta  0.500  0.500  0.500
P  0.000  0.000  0.500
S  0.000  0.500  0.000
S  0.500  0.000  0.000

Summary:
DOS at the Fermi energy: 4.8 states/eV/cell
raw formation energy: 845 meV per atom
spin magnetization: 0.1235 μB per atom
V: 18.88 A^3/atom
symmetry: P4/mmm

Computed, not measured: KScMo at its PBEsol-relaxed geometry at the meta-GGA SCAN level of DFT.

Cell: 8.827 8.827 8.827 Å, 161.17 161.17 26.75°
Sites, in units of the cell vectors:
K  0.000  0.000  0.000
Sc  0.293  0.293  0.000
Mo  0.675  0.675  0.000

Summary:
DOS at the Fermi energy: 2.7 states/eV/cell
spin magnetization: 0.0001 μB per atom
formation energy from the elements: 2.5 eV/f.u.
V: 23.88 A^3/atom
symmetry: I4mm
energy above the most stable polymorph in this dataset: 0.0 meV per atom

Computed, not measured: Li2W at its PBEsol-relaxed geometry at the meta-GGA SCAN level of DFT.

Cell: 4.584 4.584 2.442 Å, 90.00 90.00 120.00°
Sites, in units of the cell vectors:
Li  0.333  0.667  0.000
Li  0.667  0.333  0.000
W  0.000  0.000  0.500

Summary:
DOS at the Fermi energy: 2.6 states/eV/cell
spin magnetization: 0.0014 μB per atom
formation energy from the elements: 2.4 eV/f.u.
V: 14.81 A^3/atom
symmetry: P6/mmm

Computed, not measured: Ca3Cr3N5 at its PBEsol-relaxed geometry at the meta-GGA SCAN level of DFT.

Cell: 5.536 6.793 8.222 Å, 108.36 104.58 95.04°
Sites, in units of the cell vectors:
Ca  0.153  0.168  0.202
Ca  0.167  0.372  0.885
Ca  0.320  0.928  0.616
Ca  0.680  0.072  0.384
Ca  0.833  0.628  0.115
Ca  0.847  0.832  0.798
Cr  0.200  0.456  0.570
Cr  0.385  0.621  0.301
Cr  0.406  0.825  0.967
Cr  0.594  0.175  0.033
Cr  0.615  0.379  0.699
Cr  0.800  0.544  0.430
N  0.111  0.566  0.379
N  0.254  0.038  0.909
N  0.301  0.729  0.125
N  0.335  0.214  0.507
N  0.458  0.609  0.787
N  0.542  0.391  0.213
N  0.665  0.786  0.493
N  0.699  0.271  0.875
N  0.746  0.962  0.091
N  0.889  0.434  0.621

Summary:
DOS at the Fermi energy: 6.8 states/eV/cell
raw formation energy: -943 meV per atom
spin magnetization: 0.1299 μB per atom
V: 12.69 A^3/atom
symmetry: P-1

Computed, not measured: KSn3Cl at its PBEsol-relaxed geometry at the meta-GGA SCAN level of DFT.

Cell: 5.458 5.458 5.458 Å, 90.00 90.00 90.00°
Sites, in units of the cell vectors:
K  0.000  0.000  0.000
Sn  0.000  0.500  0.500
Sn  0.500  0.000  0.500
Sn  0.500  0.500  0.000
Cl  0.500  0.500  0.500

Summary:
DOS at the Fermi energy: 3.7 states/eV/cell
raw formation energy: 234 meV per atom
spin magnetization: 0.0000 μB per atom
V: 32.51 A^3/atom
symmetry: Pm-3m

Computed, not measured: SrH2 at its PBEsol-relaxed geometry at the meta-GGA SCAN level of DFT.

Cell: 6.193 3.790 7.161 Å, 90.00 90.00 90.00°
Sites, in units of the cell vectors:
Sr  0.240  0.250  0.111
Sr  0.260  0.750  0.611
Sr  0.740  0.250  0.389
Sr  0.760  0.750  0.889
H  0.027  0.750  0.317
H  0.147  0.750  0.928
H  0.353  0.250  0.428
H  0.473  0.250  0.817
H  0.527  0.750  0.183
H  0.647  0.750  0.572
H  0.853  0.250  0.072
H  0.973  0.250  0.683

Summary:
DOS at the Fermi energy: 0.0 states/eV/cell
spin magnetization: 0.0000 μB per atom
V: 14.01 A^3/atom
symmetry: Pnma
total energy: -10.39 eV/atom

Computed, not measured: Tl3WI at its PBEsol-relaxed geometry at the meta-GGA SCAN level of DFT.

Cell: 6.128 6.128 6.128 Å, 90.00 90.00 90.00°
Sites, in units of the cell vectors:
Tl  0.000  0.000  0.500
Tl  0.000  0.500  0.000
Tl  0.500  0.000  0.000
W  0.500  0.500  0.500
I  0.000  0.000  0.000

Summary:
DOS at the Fermi energy: 2.0 states/eV/cell
raw formation energy: 1687 meV per atom
spin magnetization: 0.9785 μB per atom
V: 46.02 A^3/atom
symmetry: Pm-3m

Computed, not measured: NaCuPO4 at its PBEsol-relaxed geometry at the meta-GGA SCAN level of DFT.

Cell: 4.776 7.203 9.677 Å, 90.00 90.00 90.00°
Sites, in units of the cell vectors:
Na  0.014  0.229  0.187
Na  0.486  0.771  0.687
Na  0.514  0.271  0.813
Na  0.986  0.729  0.313
Cu  0.002  0.566  0.955
Cu  0.498  0.434  0.455
Cu  0.502  0.934  0.045
Cu  0.998  0.066  0.545
P  0.066  0.976  0.868
P  0.434  0.024  0.368
P  0.566  0.524  0.132
P  0.934  0.476  0.632
O  0.168  0.039  0.724
O  0.201  0.781  0.895
O  0.211  0.107  0.975
O  0.245  0.522  0.121
O  0.255  0.478  0.621
O  0.289  0.893  0.475
O  0.299  0.219  0.395
O  0.332  0.961  0.224
O  0.668  0.461  0.276
O  0.701  0.719  0.105
O  0.711  0.393  0.025
O  0.745  0.978  0.879
O  0.755  0.022  0.379
O  0.789  0.607  0.525
O  0.799  0.281  0.605
O  0.832  0.539  0.776

Summary:
DOS at the Fermi energy: 0.0 states/eV/cell
raw formation energy: -2032 meV per atom
spin magnetization: 0.1390 μB per atom
V: 11.89 A^3/atom
symmetry: P2_12_12_1
energy above the most stable polymorph in this dataset: 8.3 meV per atom

Computed, not measured: Y2CdIn at its PBEsol-relaxed geometry at the meta-GGA SCAN level of DFT.

Cell: 3.916 3.916 6.812 Å, 90.00 90.00 90.00°
Sites, in units of the cell vectors:
Y  0.000  0.000  0.000
Y  0.500  0.500  0.292
Cd  0.000  0.000  0.521
In  0.500  0.500  0.764

Summary:
DOS at the Fermi energy: 2.8 states/eV/cell
spin magnetization: 0.1974 μB per atom
formation energy from the elements: -1.1 eV/f.u.
V: 26.11 A^3/atom
symmetry: P4mm

Computed, not measured: Zr2CoRh at its PBEsol-relaxed geometry at the meta-GGA SCAN level of DFT.

Cell: 4.222 5.107 5.107 Å, 37.27 90.00 90.00°
Sites, in units of the cell vectors:
Zr  0.000  0.000  0.000
Zr  0.500  0.283  0.283
Co  0.000  0.734  0.734
Rh  0.500  0.557  0.557

Summary:
DOS at the Fermi energy: 2.9 states/eV/cell
spin magnetization: 0.0943 μB per atom
formation energy from the elements: -2.3 eV/f.u.
V: 16.67 A^3/atom
symmetry: Amm2
energy above the most stable polymorph in this dataset: 67.4 meV per atom

Computed, not measured: Tl2Cu2SnTe4 at its PBEsol-relaxed geometry at the meta-GGA SCAN level of DFT.

Cell: 6.914 6.811 8.349 Å, 53.10 51.97 74.93°
Sites, in units of the cell vectors:
Tl  0.000  0.000  0.500
Tl  0.500  0.500  0.000
Cu  0.211  0.991  0.789
Cu  0.991  0.211  0.009
Sn  0.500  0.500  0.500
Te  0.056  0.414  0.586
Te  0.414  0.056  0.944
Te  0.570  0.941  0.430
Te  0.941  0.570  0.059

Summary:
DOS at the Fermi energy: 0.3 states/eV/cell
raw formation energy: -165 meV per atom
spin magnetization: 0.0000 μB per atom
V: 27.10 A^3/atom
symmetry: Fmm2

Computed, not measured: YTcC3 at its PBEsol-relaxed geometry at the meta-GGA SCAN level of DFT.

Cell: 4.259 4.259 4.259 Å, 90.00 90.00 90.00°
Sites, in units of the cell vectors:
Y  0.000  0.000  0.000
Tc  0.500  0.500  0.500
C  0.000  0.000  0.500
C  0.000  0.500  0.000
C  0.500  0.000  0.000

Summary:
DOS at the Fermi energy: 3.4 states/eV/cell
spin magnetization: 0.5281 μB per atom
formation energy from the elements: 15.2 eV/f.u.
V: 15.45 A^3/atom
symmetry: Pm-3m

Computed, not measured: SiHgTe2 at its PBEsol-relaxed geometry at the meta-GGA SCAN level of DFT.

Cell: 7.422 7.422 7.422 Å, 31.65 31.65 31.65°
Sites, in units of the cell vectors:
Si  0.000  0.000  0.000
Hg  0.500  0.500  0.500
Te  0.259  0.259  0.259
Te  0.741  0.741  0.741

Summary:
DOS at the Fermi energy: 1.5 states/eV/cell
raw formation energy: 88 meV per atom
spin magnetization: 0.0000 μB per atom
V: 24.99 A^3/atom
symmetry: R-3m
energy above the most stable polymorph in this dataset: 0.0 meV per atom